No. 1
## Li4GePtO6 (PBE)

Data for a relaxed structure of Li4GePtO6.

Calculated values
**Total magnetic moment**: 0.000 μB per cell

Cell lengths 5.088, 5.088, 5.054 Å; angles 99.78, 99.78, 119.94 degrees
Positions (direct):
O 0.064 0.406 0.772
O 0.765 0.782 0.767
O 0.218 0.235 0.233
O 0.594 0.936 0.228
O 0.921 0.562 0.231
O 0.438 0.079 0.769
Li 0.500 0.500 0.000
Li 0.001 0.999 0.500
Li 0.661 0.339 0.500
Li 0.338 0.662 0.500
Pt 0.167 0.833 0.000
Ge 0.833 0.167 0.000

=====

No. 2
## AcZrPt (PBE)

Data for a relaxed structure of AcZrPt.

Calculated values
**Total magnetic moment**: 0.007 μB per cell
**Formation energy from the elements**: 9 kJ/mol of formula units

Cell lengths 4.804, 4.804, 4.804 Å; angles 60.00, 60.00, 60.00 degrees
Positions (direct):
Pt 0.750 0.750 0.750
Zr 0.000 0.000 0.000
Ac 0.250 0.250 0.250

=====

No. 3
## Tb2SmHg5 (PBE)

Data for a relaxed structure of Tb2SmHg5.

Calculated values
**Total magnetic moment**: 0.000 μB per cell
**Formation energy from the elements**: -341 kJ/mol of formula units

Cell lengths 8.208, 8.208, 8.208 Å; angles 142.88, 142.88, 53.51 degrees
Positions (direct):
Sm 0.000 0.000 0.000
Hg 0.374 0.874 0.500
Hg 0.126 0.626 0.500
Hg 0.500 0.500 0.000
Hg 0.626 0.126 0.500
Hg 0.874 0.374 0.500
Tb 0.267 0.267 0.000
Tb 0.733 0.733 0.000

=====

No. 4
## HfSiSb (PBE)

Data for a relaxed structure of HfSiSb.

Calculated values
**Total magnetic moment**: 0.008 μB per cell

Cell lengths 7.236, 3.607, 8.978 Å; angles 90.00, 90.00, 90.00 degrees
Positions (direct):
Si 0.395 0.750 0.417
Si 0.105 0.250 0.917
Si 0.605 0.250 0.583
Si 0.895 0.750 0.083
Sb 0.363 0.750 0.088
Sb 0.137 0.250 0.588
Sb 0.637 0.250 0.912
Sb 0.863 0.750 0.412
Hf 0.122 0.250 0.250
Hf 0.878 0.750 0.750
Hf 0.378 0.750 0.750
Hf 0.622 0.250 0.250

=====

No. 5
## CsThOs (PBE)

Data for a relaxed structure of CsThOs.

Calculated values
**Offset from the most stable computed form**: 2.93 eV/f.u.
**Total magnetic moment**: 0.001 μB per cell

Cell lengths 4.925, 4.925, 4.925 Å; angles 60.00, 60.00, 60.00 degrees
Positions (direct):
Cs 0.000 0.000 0.000
Os 0.750 0.750 0.750
Th 0.250 0.250 0.250

=====

No. 6
## NdSmB2Ir2N2 (PBE)

Data for a relaxed structure of NdSmB2Ir2N2.

Calculated values
**Total magnetic moment**: 0.003 μB per cell

Cell lengths 3.799, 3.799, 7.576 Å; angles 90.00, 90.00, 90.00 degrees
Positions (direct):
N 0.000 0.000 0.152
N 0.500 0.500 0.850
Ir 0.500 0.000 0.499
Ir 0.000 0.500 0.499
Nd 0.000 0.000 0.834
Sm 0.500 0.500 0.166
B 0.000 0.000 0.349
B 0.500 0.500 0.652

=====

Number 1: calculated total energy -5.653 eV/atom. Number 2: calculated total energy -6.206 eV/atom. Number 3: calculated total energy -2.374 eV/atom. Number 4: calculated total energy -6.800 eV/atom. Number 5: calculated total energy -4.500 eV/atom. Number 6: calculated total energy -8.255 eV/atom.